P.
The following is a DFT calculation (PBE) of crystalline Li2RuRh at its relaxed geometry.

Lattice parameters (Å, degrees): 2.679 2.679 9.307 90.00 90.00 117.93
Fractional positions:
Li 0.000 0.000 0.985
Li 0.500 0.500 0.269
Ru 0.500 0.500 0.744
Rh 0.000 0.000 0.502

---

Q.
The following is a DFT calculation (PBE) of crystalline Li2RuRh at its relaxed geometry.

Lattice parameters (Å, degrees): 2.537 2.537 8.526 90.00 90.00 90.00
Fractional positions:
Li 0.000 0.000 0.006
Li 0.000 0.000 0.494
Rh 0.500 0.500 0.250
Ru 0.500 0.500 0.750

---

R.
The following is a DFT calculation (PBE) of crystalline Li2RuRh at its relaxed geometry.

Lattice parameters (Å, degrees): 2.620 2.620 8.991 90.00 90.00 117.83
Fractional positions:
Li 0.000 0.000 0.496
Li 0.000 0.000 0.004
Ru 0.500 0.500 0.750
Rh 0.500 0.500 0.250

---

Consider the structures shown above. The least stable of them is P.